No. 1
Here is a relaxed structure of Tb3PmDy2Er6 from Alexandria via LeMat-Bulk. Energies are from PBE.

- Formation energy from the elements: 18 meV/atom
- Density: 8.647 g/cm3
- Symmetry: C2/m (12)
- E: -4.584 eV/atom

abc: 6.1254 6.1254 11.6988
angles: 94.99 94.99 119.95
Last column: nearest neighbours and their distance in Å.
Sites, in units of the cell vectors:
1 Tb 0.1669 0.8331 0.5000  6 Er 3.52-3.53, 6 Tb 3.53-3.54
2 Tb 0.8331 0.1669 0.5000  6 Er 3.52-3.53, 6 Tb 3.53-3.54
3 Tb 0.5000 0.5000 0.5000  6 Er 3.52-3.53, 6 Tb 3.53-3.54
4 Pm 0.0000 0.0000 0.0000  6 Er 3.53-3.54, 6 Dy 3.54
5 Dy 0.3333 0.6667 0.0000  6 Er 3.53-3.54, 3 Pm 3.54, 3 Dy 3.54
6 Dy 0.6667 0.3333 0.0000  6 Er 3.53-3.54, 3 Pm 3.54, 3 Dy 3.54
7 Er 0.9160 0.5822 0.7494  3 Tb 3.52-3.53, 6 Er 3.53-3.54, 2 Dy 3.53-3.54, 1 Pm 3.54
8 Er 0.7501 0.7501 0.2505  3 Tb 3.52-3.53, 6 Er 3.53-3.54, 1 Pm 3.53, 2 Dy 3.54
9 Er 0.0840 0.4178 0.2506  3 Tb 3.52-3.53, 6 Er 3.53-3.54, 2 Dy 3.53-3.54, 1 Pm 3.54
10 Er 0.5822 0.9160 0.7494  3 Tb 3.52-3.53, 6 Er 3.53-3.54, 2 Dy 3.53-3.54, 1 Pm 3.54
11 Er 0.2499 0.2499 0.7495  3 Tb 3.52-3.53, 6 Er 3.53-3.54, 1 Pm 3.53, 2 Dy 3.54
12 Er 0.4178 0.0840 0.2506  3 Tb 3.52-3.53, 6 Er 3.53-3.54, 2 Dy 3.53-3.54, 1 Pm 3.54



No. 2
Here is a relaxed structure of Li2Sm2YSn2 from Alexandria via LeMat-Bulk. Energies are from PBE.

- Formation energy from the elements: -468 meV/atom
- Density: 5.914 g/cm3
- Symmetry: R-3m (166)
- E: -4.430 eV/atom

abc: 4.7845 4.7845 9.4881
angles: 75.40 75.40 60.00
Last column: nearest neighbours and their distance in Å.
Sites, in units of the cell vectors:
1 Li 0.6029 0.6029 0.1913  3 Sn 2.76
2 Li 0.3971 0.3971 0.8087  3 Sn 2.76
3 Sm 0.1283 0.1283 0.6151  3 Sn 3.22, 3 Li 3.27, 3 Sm 3.46, 1 Y 3.49
4 Sm 0.8717 0.8717 0.3849  3 Sn 3.22, 3 Li 3.27, 3 Sm 3.46, 1 Y 3.49
5 Y 0.0000 0.0000 0.0000  6 Li 3.26, 6 Sn 3.32, 2 Sm 3.49
6 Sn 0.7344 0.7344 0.7967  3 Li 2.76
7 Sn 0.2656 0.2656 0.2033  3 Li 2.76



No. 3
Here is a relaxed structure of K2BeI from Alexandria via LeMat-Bulk. Energies are from PBE.

- Density: 1.909 g/cm3
- Symmetry: I-42d (122)
- Energy relative to the elements, uncorrected: 72 meV per atom
- E: -1.796 eV/atom
- Energy relative to the lowest polymorph listed for this composition: 0.017 eV per atom

abc: 9.1961 9.1961 7.8544
angles: 54.17 54.17 90.00
Last column: nearest neighbours and their distance in Å.
Sites, in units of the cell vectors:
1 I 0.0000 0.0000 0.0000  4 K 3.45
2 I 0.7500 0.2500 0.5000  4 K 3.45
3 Be 0.5000 0.5000 0.0000  4 K 3.42
4 Be 0.2500 0.7500 0.5000  4 K 3.42
5 K 0.6224 0.1250 0.2500  2 Be 3.42, 2 I 3.45
6 K 0.1276 0.6250 0.2500  2 Be 3.42, 2 I 3.45
7 K 0.3750 0.3776 0.7500  2 Be 3.42, 2 I 3.45
8 K 0.8750 0.8724 0.7500  2 Be 3.42, 2 I 3.45



No. 4
Here is a relaxed structure of K6RbO4 from Alexandria via LeMat-Bulk. Energies are from PBE.

- Density: 2.715 g/cm3
- Symmetry: P-6m2 (187)
- Energy relative to the elements, uncorrected: -925 meV per atom
- E: -3.415 eV/atom

abc: 3.8108 8.4371 8.4371
angles: 120.00 90.00 90.00
Last column: nearest neighbours and their distance in Å.
Sites, in units of the cell vectors:
1 K 0.0000 0.5434 0.0868  5 O 2.87-3.07, 2 K 3.12
2 K 0.5000 0.6045 0.8023  4 O 2.71-2.75
3 K 0.0000 0.5434 0.4566  5 O 2.87-3.07, 2 K 3.12
4 K 0.0000 0.9132 0.4566  5 O 2.87-3.07, 2 K 3.12
5 K 0.5000 0.1977 0.8023  4 O 2.71-2.75
6 K 0.5000 0.1977 0.3955  4 O 2.71-2.75
7 Rb 0.0000 0.0000 0.0000  6 O 3.14, 6 K 3.46
8 O 0.5000 0.8294 0.6588  6 K 2.71-2.87
9 O 0.5000 0.3412 0.1706  6 K 2.71-2.87
10 O 0.5000 0.8294 0.1706  6 K 2.71-2.87
11 O 0.0000 0.3333 0.6667  9 K 2.75-3.07



No. 5
Here is a relaxed structure of NbGaRh5 from Alexandria via LeMat-Bulk. Energies are from PBE.

- Formation energy from the elements: -360 meV/atom
- Density: 10.423 g/cm3
- Symmetry: P4/mmm (123)
- E: -7.482 eV/atom

abc: 4.0080 4.0080 6.7155
angles: 90.00 90.00 90.00
Last column: nearest neighbours and their distance in Å.
Sites, in units of the cell vectors:
1 Nb 0.0000 0.0000 0.5000  12 Rh 2.72-2.83
2 Ga 0.5000 0.5000 0.0000  8 Rh 2.51
3 Rh 0.0000 0.5000 0.7748  2 Ga 2.51, 2 Rh 2.72, 2 Nb 2.72
4 Rh 0.0000 0.5000 0.2252  2 Ga 2.51, 2 Rh 2.72, 2 Nb 2.72
5 Rh 0.5000 0.0000 0.7748  2 Ga 2.51, 2 Nb 2.72, 2 Rh 2.72
6 Rh 0.5000 0.0000 0.2252  2 Ga 2.51, 2 Nb 2.72, 2 Rh 2.72
7 Rh 0.5000 0.5000 0.5000  8 Rh 2.72, 4 Nb 2.83



No. 6
Here is a relaxed structure of PdCl2F from Alexandria via LeMat-Bulk. Energies are from PBE.

- Density: 3.755 g/cm3
- Symmetry: Immm (71)
- Energy relative to the elements, uncorrected: -695 meV per atom
- E: -3.384 eV/atom
- Energy relative to the lowest polymorph listed for this composition: 0.000 eV per atom

abc: 3.4783 4.2403 6.4950
angles: 109.10 105.52 90.00
Last column: nearest neighbours and their distance in Å.
Sites, in units of the cell vectors:
1 Pd 0.5000 0.0090 0.0000  2 F 2.12, 4 Cl 2.37
2 Cl 0.1366 0.1460 0.2734  2 Pd 2.37
3 Cl 0.8634 0.8719 0.7266  2 Pd 2.37
4 F 0.5000 0.5091 0.0000  2 Pd 2.12



We obtain spin magnetization values of 0.0; 0.0; 2.0; 1.1; 0.0; 0.0 Bohr magnetons per cell for the records listed above, in that order.